Below is a relaxed structure of PmGd2F, with properties calculated at the GGA-PBE level.

Lattice parameters (Å, degrees): 3.7274 3.7274 26.0852 90.00 90.00 120.00
Closest atoms and distances in Å follow each position.
Space group R-3m (No. 166, hexagonal axes)
One atom of each set of equivalent atoms:
1 Pm 0.0000 0.0000 0.0000 [3 per cell]  6 Gd 3.59, 6 Pm 3.73
2 Gd 0.0000 0.0000 0.2230 [6 per cell]  3 F 2.61
3 F 0.0000 0.0000 0.5000 [3 per cell]  6 Gd 2.61

Calculated values
ΔE_f (raw) = -1.136 eV per atom
Fermi-level density of states = 1.1732 states/eV per atom
magnetization = 42.83 μB/cell